1.
Entry from the Alexandria database: an optimized crystal structure of Hg3GeI (PBEsol).

```
Hg3GeI
1.0
5.239 0.000 0.000
0.000 5.239 0.000
0.000 0.000 5.239
I Hg Ge
1 3 1
Direct
0.500 0.500 0.500
0.000 0.000 0.500
0.000 0.500 0.000
0.500 0.000 0.000
0.000 0.000 0.000
```

Calculated values
E_form (uncorrected)	-0.9	kJ per mole of atoms
space-group type	Pm-3m, No. 221
calculated total energy	-1.69	eV per atom
spin magnetization	0.0	μB/f.u.

---

2.
Entry from the Alexandria database: an optimized crystal structure of Sr2SbRu (PBEsol).

```
Sr2SbRu
1.0
-1.420 2.687 4.343
2.867 -0.429 4.438
2.935 4.088 1.665
Ru Sr Sb
1 2 1
Direct
0.000 0.000 0.000
0.750 0.750 0.750
0.250 0.250 0.250
0.500 0.500 0.500
```

Calculated values
E_form (uncorrected)	9.2	kJ per mole of atoms
space-group type	Fm-3m, No. 225
calculated total energy	-4.51	eV per atom
spin magnetization	0.0	μB/f.u.

---

3.
Entry from the Alexandria database: an optimized crystal structure of NaHg2Pd2 (PBEsol).

```
NaHg2Pd2
1.0
2.973 0.000 0.000
0.000 7.991 0.000
0.000 0.000 7.991
Hg Na Pd
4 2 4
Direct
0.000 0.666 0.166
0.000 0.334 0.834
0.000 0.834 0.666
0.000 0.166 0.334
0.000 0.000 0.000
0.000 0.500 0.500
0.500 0.130 0.630
0.500 0.870 0.370
0.500 0.630 0.870
0.500 0.370 0.130
```

Calculated values
ΔE to the lowest computed polymorph	0	meV/atom
space-group type	P4/mbm, No. 127
calculated total energy	-3.13	eV per atom
spin magnetization	0.0	μB/f.u.

---

4.
Entry from the Alexandria database: an optimized crystal structure of Te2PtRh (PBEsol).

```
Te2PtRh
1.0
4.003 0.000 0.000
0.000 4.003 0.000
-2.002 -2.002 4.718
Rh Te Pt
1 2 1
Direct
0.250 0.750 0.500
0.000 0.000 0.000
0.750 0.250 0.500
0.500 0.500 0.000
```

Calculated values
ΔE to the lowest computed polymorph	418	meV/atom
E_form (uncorrected)	17.3	kJ per mole of atoms
space-group type	I-4m2, No. 119
calculated total energy	-5.36	eV per atom
spin magnetization	0.0	μB/f.u.

---

5.
Entry from the Alexandria database: an optimized crystal structure of Sr3AsF (PBEsol).

```
Sr3AsF
1.0
5.936 0.000 0.000
0.000 5.936 0.000
0.000 0.000 5.936
Sr F As
3 1 1
Direct
0.000 0.500 0.000
0.000 0.000 0.500
0.500 0.000 0.000
0.500 0.500 0.500
0.000 0.000 0.000
```

Calculated values
E_form (uncorrected)	-86.3	kJ per mole of atoms
space-group type	Pm-3m, No. 221
calculated total energy	-3.41	eV per atom
spin magnetization	0.0	μB/f.u.

---

6.
Entry from the Alexandria database: an optimized crystal structure of Zn3InGaO6 (PBEsol).

```
Zn3InGaO6
1.0
3.293 0.000 0.000
1.646 2.851 0.000
1.646 0.950 13.821
O Zn Ga In
6 3 1 1
Direct
0.089 0.089 0.732
0.913 0.913 0.260
0.308 0.308 0.075
0.804 0.804 0.589
0.185 0.185 0.446
0.694 0.694 0.917
0.741 0.741 0.776
0.261 0.261 0.217
0.866 0.866 0.403
0.137 0.137 0.589
0.001 0.001 0.996
```

Calculated values
E_form (uncorrected)	-153.2	kJ per mole of atoms
space-group type	R3m, No. 160
calculated total energy	-5.46	eV per atom
spin magnetization	0.0	μB/f.u.

---

7.
Entry from the Alexandria database: an optimized crystal structure of Na3CuAsCO7 (PBEsol).

```
Na3CuAsCO7
1.0
5.225 0.000 0.044
0.000 6.583 0.000
-0.396 0.000 9.199
O As Na Cu C
14 2 6 2 2
Direct
0.757 0.952 0.690
0.241 0.750 0.915
0.243 0.048 0.310
0.759 0.250 0.085
0.474 0.250 0.896
0.175 0.250 0.585
0.649 0.250 0.450
0.101 0.750 0.141
0.243 0.452 0.310
0.899 0.250 0.859
0.351 0.750 0.550
0.526 0.750 0.104
0.757 0.548 0.690
0.825 0.750 0.415
0.682 0.750 0.576
0.318 0.250 0.424
0.751 0.999 0.256
0.789 0.750 0.911
0.249 0.001 0.744
0.751 0.501 0.256
0.211 0.250 0.089
0.249 0.499 0.744
0.228 0.750 0.347
0.772 0.250 0.653
0.705 0.250 0.946
0.295 0.750 0.054
```

Calculated values
E_form (uncorrected)	-141.5	kJ per mole of atoms
space-group type	P2_1/m, No. 11
calculated total energy	-6.08	eV per atom
spin magnetization	1.0	μB/f.u.

---

8.
Entry from the Alexandria database: an optimized crystal structure of SrTe2O (PBEsol).

```
SrTe2O
1.0
-3.915 2.546 2.339
-4.830 -0.259 -1.970
-4.155 -4.581 3.865
O Te Sr
1 2 1
Direct
0.000 0.000 0.000
0.099 0.099 0.702
0.901 0.901 0.298
0.500 0.500 0.500
```

Calculated values
E_form (uncorrected)	-55.9	kJ per mole of atoms
space-group type	R-3m, No. 166
calculated total energy	-4.11	eV per atom
spin magnetization	0.0	μB/f.u.